1.
The following is a DFT calculation (PBE) of a geometry-optimized Mn2Cu3Au8 structure.

Lattice parameters (Å, degrees): 4.6791 7.0853 7.0853 81.94 78.21 78.21
With the nearest neighbours (Å) after each atom.
Fractional coordinates of all 13 atoms:
Mn (0.3619, 0.2952, 0.2952)  9 Au 2.63-2.89
Mn (0.6381, 0.7048, 0.7048)  9 Au 2.63-2.89
Cu (0.5000, 0.0000, 0.0000)  8 Au 2.62-2.87
Cu (0.0000, 0.2471, 0.7529)  8 Au 2.72-2.79
Cu (0.0000, 0.7529, 0.2471)  8 Au 2.72-2.79
Au (0.2023, 0.5736, 0.5736)  3 Mn 2.63-2.87, 2 Cu 2.73, 5 Au 2.77-2.92
Au (0.7977, 0.4264, 0.4264)  3 Mn 2.63-2.87, 2 Cu 2.73, 5 Au 2.77-2.92
Au (0.9360, 0.1438, 0.1438)  4 Cu 2.67-2.87, 2 Mn 2.74-2.89, 2 Au 2.92-2.97
Au (0.0640, 0.8562, 0.8562)  4 Cu 2.67-2.87, 2 Mn 2.74-2.89, 2 Au 2.92-2.97
Au (0.5966, 0.6243, 0.0940)  3 Cu 2.62-2.79, 2 Mn 2.71-2.85, 3 Au 2.74-2.90
Au (0.5966, 0.0940, 0.6243)  3 Cu 2.62-2.79, 2 Mn 2.71-2.85, 3 Au 2.74-2.90
Au (0.4034, 0.9060, 0.3757)  3 Cu 2.62-2.79, 2 Mn 2.71-2.85, 3 Au 2.74-2.90
Au (0.4034, 0.3757, 0.9060)  3 Cu 2.62-2.79, 2 Mn 2.71-2.85, 3 Au 2.74-2.90

Properties
Total moment: 0.65 μB/atom
Relative energy among the computed polymorphs: 0.0 kJ/mol of atoms
Volume: 17.22 Å³/atom

---

2.
The following is a DFT calculation (PBE) of a geometry-optimized MnCuAu6 structure.

Lattice parameters (Å, degrees): 4.0779 5.0065 7.6636 76.94 74.57 65.97
With the nearest neighbours (Å) after each atom.
Fractional coordinates of all 8 atoms:
Mn (0.0000, 0.0000, 0.0000)  12 Au 2.89-2.91
Cu (0.0000, 0.5000, 0.5000)  12 Au 2.85-2.91
Au (0.2467, 0.8817, 0.6250)  3 Cu 2.85-2.91, 8 Au 2.86-2.90, 1 Mn 2.89
Au (0.4985, 0.2567, 0.7463)  2 Cu 2.86, 8 Au 2.88-2.92, 2 Mn 2.91
Au (0.2513, 0.3718, 0.1256)  8 Au 2.89-2.92, 3 Mn 2.89-2.90, 1 Cu 2.90
Au (0.5015, 0.7433, 0.2537)  2 Cu 2.86, 8 Au 2.88-2.92, 2 Mn 2.91
Au (0.7533, 0.1183, 0.3750)  3 Cu 2.85-2.91, 8 Au 2.86-2.90, 1 Mn 2.89
Au (0.7487, 0.6282, 0.8744)  8 Au 2.89-2.92, 3 Mn 2.89-2.90, 1 Cu 2.90

Properties
Total moment: 0.55 μB/atom
Relative energy among the computed polymorphs: 0.0 kJ/mol of atoms
Volume: 17.06 Å³/atom

---

3.
The following is a DFT calculation (PBE) of a geometry-optimized MnCu2Au structure.

Lattice parameters (Å, degrees): 8.5696 8.5696 8.5696 18.93 18.93 18.93
With the nearest neighbours (Å) after each atom.
Fractional coordinates of all 4 atoms:
Au (0.7487, 0.7487, 0.7487)  3 Cu 2.74, 3 Mn 2.79, 6 Au 2.82
Cu (0.9947, 0.9947, 0.9947)  9 Cu 2.53-2.82, 3 Au 2.74
Cu (0.2514, 0.2514, 0.2514)  9 Cu 2.53-2.82, 3 Mn 2.58
Mn (0.5053, 0.5053, 0.5053)  3 Cu 2.58, 3 Au 2.79, 6 Mn 2.82

Properties
Total moment: 0.92 μB/atom
Volume: 14.48 Å³/atom

---

4.
The following is a DFT calculation (PBE) of a geometry-optimized Mn2Cu2Au3 structure.

Lattice parameters (Å, degrees): 4.0211 2.8217 9.7818 90.00 78.14 90.00
With the nearest neighbours (Å) after each atom.
Fractional coordinates of all 7 atoms:
Mn (0.5756, 0.5000, 0.8487)  1 Cu 2.64, 3 Mn 2.82-2.90, 8 Au 2.85-2.88
Mn (0.4244, 0.5000, 0.1513)  1 Cu 2.64, 3 Mn 2.82-2.90, 8 Au 2.85-2.88
Cu (0.7137, 0.5000, 0.5725)  2 Cu 2.44, 1 Mn 2.64, 4 Au 2.71
Cu (0.2863, 0.5000, 0.4275)  2 Cu 2.44, 1 Mn 2.64, 4 Au 2.71
Au (0.8457, 0.0000, 0.3086)  6 Cu 2.71-2.89, 3 Au 2.82-2.95, 4 Mn 2.88
Au (0.0000, 0.0000, 0.0000)  4 Au 2.82-2.95, 8 Mn 2.85
Au (0.1543, 0.0000, 0.6914)  6 Cu 2.71-2.89, 3 Au 2.82-2.95, 4 Mn 2.88

Properties
Total moment: 1.16 μB/atom
Volume: 15.52 Å³/atom

---

It is found that the DFT formation energy values, taken in the order of the records, are 0.04, -0.04, 0.17, 0.03 eV/atom.
It is found that the uncorrected energy values, taken in the order of the records, are -4.3308, -4.1552, -4.9913, -5.1639 eV/atom.